Computed, not measured: ZrMnS2 after structural relaxation at the PBE level of DFT.

Geometry as extended XYZ:
```
4
Lattice="1.775 1.025 7.791 -1.775 1.025 7.791 0.000 -2.050 7.791" Properties=species:S:1:pos:R:3 pbc="T T T"
Zr 0.000 0.000 0.000
Mn 0.000 0.000 11.686
S 0.000 0.000 9.378
S 0.000 0.000 13.994
```

Computed properties:
Uncorrected formation energy in eV/atom: -0.838
Space-group type: R-3m
V in Å³/cell: 85.07
Excess energy over the best structure of this formula in the dataset in meV per atom: 0